A plane-wave DFT calculation with PBE was carried out for a geometry-optimized CsGa4Au2 structure.

abc: 9.147 9.147 3.880
angles: 90.00 90.00 90.00
Fractional coordinates of all 14 atoms:
Cs1 0.000 0.000 0.000
Cs2 0.500 0.500 0.500
Ga1 0.062 0.348 0.500
Ga2 0.152 0.562 0.000
Ga3 0.348 0.062 0.500
Ga4 0.438 0.848 0.000
Ga5 0.562 0.152 0.000
Ga6 0.652 0.938 0.500
Ga7 0.848 0.438 0.000
Ga8 0.938 0.652 0.500
Au1 0.235 0.765 0.500
Au2 0.265 0.265 0.000
Au3 0.735 0.735 0.000
Au4 0.765 0.235 0.500

Summary:
- Electronic total energy: -2.9326 eV/atom
- Spin magnetization: 0.0 μB/f.u.

***

A plane-wave DFT calculation with PBE was carried out for a geometry-optimized Cs2Ga7Au12 structure.

abc: 11.523 11.523 4.064
angles: 90.00 90.00 120.00
Fractional coordinates of all 21 atoms:
Cs1 0.000 0.000 0.000
Cs2 0.333 0.667 0.500
Ga1 0.303 0.196 0.500
Ga2 0.389 0.027 0.000
Ga3 0.638 0.611 0.000
Ga4 0.667 0.333 0.500
Ga5 0.804 0.107 0.500
Ga6 0.893 0.697 0.500
Ga7 0.973 0.362 0.000
Au1 0.077 0.736 0.000
Au2 0.079 0.306 0.500
Au3 0.227 0.921 0.500
Au4 0.264 0.340 0.000
Au5 0.483 0.468 0.500
Au6 0.493 0.287 0.000
Au7 0.532 0.014 0.500
Au8 0.660 0.923 0.000
Au9 0.694 0.773 0.500
Au10 0.713 0.206 0.000
Au11 0.794 0.507 0.000
Au12 0.986 0.517 0.500

Summary:
- Electronic total energy: -3.1498 eV/atom
- Spin magnetization: 0.0 μB/f.u.

***

A plane-wave DFT calculation with PBE was carried out for a geometry-optimized CsGa3Au structure.

abc: 8.710 6.941 9.736
angles: 90.00 114.03 90.00
Fractional coordinates of all 20 atoms:
Cs1 0.127 0.013 0.210
Cs2 0.127 0.487 0.710
Cs3 0.873 0.513 0.290
Cs4 0.873 0.987 0.790
Ga1 0.164 0.512 0.082
Ga2 0.164 0.988 0.582
Ga3 0.346 0.509 0.368
Ga4 0.346 0.991 0.868
Ga5 0.432 0.183 0.612
Ga6 0.432 0.317 0.112
Ga7 0.568 0.683 0.888
Ga8 0.568 0.817 0.388
Ga9 0.654 0.009 0.132
Ga10 0.654 0.491 0.632
Ga11 0.836 0.012 0.418
Ga12 0.836 0.488 0.918
Au1 0.423 0.734 0.095
Au2 0.423 0.766 0.595
Au3 0.577 0.234 0.405
Au4 0.577 0.266 0.905

Summary:
- Electronic total energy: -2.8001 eV/atom
- Excess energy over the best structure of this formula in the dataset: 0.0 meV/atom
- Spin magnetization: 0.0 μB/f.u.

***

A plane-wave DFT calculation with PBE was carried out for a geometry-optimized CsGa4Au9 structure.

abc: 9.248 9.248 9.248
angles: 117.38 117.38 94.61
Fractional coordinates of all 28 atoms:
Cs1 0.250 0.250 0.000
Cs2 0.750 0.750 0.000
Ga1 0.080 0.580 0.888
Ga2 0.192 0.080 0.500
Ga3 0.308 0.808 0.888
Ga4 0.420 0.308 0.500
Ga5 0.580 0.692 0.500
Ga6 0.692 0.192 0.112
Ga7 0.808 0.920 0.500
Ga8 0.920 0.420 0.112
Au1 0.000 0.500 0.500
Au2 0.024 0.206 0.230
Au3 0.063 0.817 0.500
Au4 0.183 0.683 0.246
Au5 0.206 0.976 0.182
Au6 0.294 0.476 0.770
Au7 0.317 0.563 0.500
Au8 0.437 0.937 0.754
Au9 0.476 0.706 0.182
Au10 0.500 0.000 0.500
Au11 0.524 0.294 0.818
Au12 0.563 0.063 0.246
Au13 0.683 0.437 0.500
Au14 0.706 0.524 0.230
Au15 0.794 0.024 0.818
Au16 0.817 0.317 0.754
Au17 0.937 0.183 0.500
Au18 0.976 0.794 0.770

Summary:
- Electronic total energy: -3.2126 eV/atom
- Spin magnetization: 0.0 μB/f.u.

***

A plane-wave DFT calculation with PBE was carried out for a geometry-optimized CsGa3Au structure.

abc: 5.269 5.269 5.269
angles: 90.00 90.00 90.00
Fractional coordinates of all 5 atoms:
Cs1 0.000 0.000 0.000
Ga1 0.000 0.500 0.500
Ga2 0.500 0.000 0.500
Ga3 0.500 0.500 0.000
Au1 0.500 0.500 0.500

Summary:
- Electronic total energy: -2.5187 eV/atom
- Excess energy over the best structure of this formula in the dataset: 281.4 meV/atom
- Spin magnetization: 0.0 μB/f.u.

***

A plane-wave DFT calculation with PBE was carried out for a geometry-optimized Cs3Ga4Au2 structure.

abc: 4.589 7.295 9.561
angles: 96.19 103.84 108.18
Fractional coordinates of all 9 atoms:
Cs1 0.000 0.000 0.000
Cs2 0.257 0.875 0.637
Cs3 0.743 0.125 0.363
Ga1 0.337 0.590 0.078
Ga2 0.475 0.571 0.375
Ga3 0.525 0.429 0.625
Ga4 0.663 0.410 0.922
Au1 0.095 0.422 0.774
Au2 0.905 0.578 0.226

Summary:
- Electronic total energy: -2.5296 eV/atom
- Excess energy over the best structure of this formula in the dataset: 0.0 meV/atom
- Spin magnetization: 0.0 μB/f.u.

***

Taking the records one at a time from the top gives mass density values of 8.24, 11.08, 6.66, 12.52, 6.12, 6.15 g cm⁻³.